Cr2Ag2F GGA+U optimized geometry; total magnetization = 9.188 μB per formula unit; energy = -4.70 eV/atom; space group = P4/mbm (127); energy above the lowest structure with this stoichiometry = 0.00 eV per formula unit
1.0
6.0095 0.0000 0.0000
0.0000 6.0095 0.0000
0.0000 0.0000 4.9712
Cr F Ag
4 2 4
Direct
0.6739 0.1739 0.0000 Cr
0.8261 0.6739 0.0000 Cr
0.1739 0.3261 0.0000 Cr
0.3261 0.8261 0.0000 Cr
0.5000 0.5000 0.0000 F
0.0000 0.0000 0.0000 F
0.3398 0.1602 0.5000 Ag
0.8398 0.3398 0.5000 Ag
0.6602 0.8398 0.5000 Ag
0.1602 0.6602 0.5000 Ag